(1)
This record from the Alexandria database describes Pm12Y7In after structural relaxation. The functional is PBE.

Output
- space group = No. 229
- DOS at the Fermi energy (states/eV/f.u.) = 34.0
- calculated volume (A^3/atom) = 38.61
- VASP energy (eV/atom) = -4.598

Cell: 10.010 10.010 10.010 Å, 109.47 109.47 109.47°
Fractional positions:
Pm 0.000 0.219 0.781
Pm 0.000 0.781 0.219
Pm 0.219 0.000 0.781
Pm 0.219 0.219 0.437
Pm 0.219 0.437 0.219
Pm 0.219 0.781 0.000
Pm 0.437 0.219 0.219
Pm 0.563 0.781 0.781
Pm 0.781 0.000 0.219
Pm 0.781 0.219 0.000
Pm 0.781 0.563 0.781
Pm 0.781 0.781 0.563
Y 0.000 0.000 0.500
Y 0.000 0.500 0.000
Y 0.000 0.500 0.500
Y 0.500 0.000 0.000
Y 0.500 0.000 0.500
Y 0.500 0.500 0.000
Y 0.500 0.500 0.500
In 0.000 0.000 0.000



(2)
This record from the Alexandria database describes Pm4Y9In11 after structural relaxation. The functional is PBE.

Output
- space group = No. 65
- DOS at the Fermi energy (states/eV/f.u.) = 19.9
- calculated volume (A^3/atom) = 27.58
- VASP energy (eV/atom) = -4.894

Cell: 14.227 14.227 3.505 Å, 90.00 90.00 111.06°
Fractional positions:
Pm 0.093 0.256 0.000
Pm 0.256 0.093 0.000
Pm 0.744 0.907 0.000
Pm 0.907 0.744 0.000
Y 0.000 0.000 0.000
Y 0.112 0.666 0.000
Y 0.297 0.491 0.000
Y 0.334 0.888 0.000
Y 0.491 0.297 0.000
Y 0.509 0.703 0.000
Y 0.666 0.112 0.000
Y 0.703 0.509 0.000
Y 0.888 0.334 0.000
In 0.090 0.460 0.500
In 0.121 0.879 0.500
In 0.301 0.301 0.500
In 0.311 0.689 0.500
In 0.460 0.090 0.500
In 0.500 0.500 0.500
In 0.540 0.910 0.500
In 0.689 0.311 0.500
In 0.699 0.699 0.500
In 0.879 0.121 0.500
In 0.910 0.540 0.500



(3)
This record from the Alexandria database describes Pm6YIn5 after structural relaxation. The functional is PBE.

Output
- space group = No. 71
- DOS at the Fermi energy (states/eV/f.u.) = 12.0
- calculated volume (A^3/atom) = 29.12
- VASP energy (eV/atom) = -4.454

Cell: 9.228 9.228 9.228 Å, 148.24 121.15 68.44°
Fractional positions:
Pm 0.067 0.329 0.738
Pm 0.232 0.000 0.232
Pm 0.409 0.671 0.738
Pm 0.591 0.329 0.262
Pm 0.768 0.000 0.768
Pm 0.933 0.671 0.262
Y 0.500 0.500 0.000
In 0.000 0.500 0.500
In 0.173 0.173 0.000
In 0.348 0.848 0.500
In 0.652 0.152 0.500
In 0.827 0.827 0.000



(4)
This record from the Alexandria database describes Pm4Y4In after structural relaxation. The functional is PBE.

Output
- space group = No. 139
- DOS at the Fermi energy (states/eV/f.u.) = 11.9
- calculated volume (A^3/atom) = 31.91
- VASP energy (eV/atom) = -5.369

Cell: 8.023 8.023 8.023 Å, 95.41 95.41 144.25°
Fractional positions:
Pm 0.000 0.335 0.335
Pm 0.000 0.665 0.665
Pm 0.335 0.000 0.335
Pm 0.665 0.000 0.665
Y 0.340 0.340 0.680
Y 0.340 0.660 0.000
Y 0.660 0.340 0.000
Y 0.660 0.660 0.320
In 0.000 0.000 0.000



(5)
This record from the Alexandria database describes Pm4YIn after structural relaxation. The functional is PBE.

Output
- space group = No. 123
- DOS at the Fermi energy (states/eV/f.u.) = 10.6
- calculated volume (A^3/atom) = 32.14
- VASP energy (eV/atom) = -4.781

Cell: 4.148 4.148 11.206 Å, 90.00 90.00 90.00°
Fractional positions:
Pm 0.000 0.000 0.146
Pm 0.000 0.000 0.854
Pm 0.500 0.500 0.331
Pm 0.500 0.500 0.669
Y 0.000 0.000 0.500
In 0.500 0.500 0.000



(6)
This record from the Alexandria database describes Pm5Y2In after structural relaxation. The functional is PBE.

Output
- space group = No. 107
- DOS at the Fermi energy (states/eV/f.u.) = 10.5
- calculated volume (A^3/atom) = 31.71
- VASP energy (eV/atom) = -4.990

Cell: 6.936 6.936 6.936 Å, 113.27 113.27 102.11°
Fractional positions:
Pm 0.000 0.000 0.000
Pm 0.080 0.080 0.548
Pm 0.080 0.531 0.000
Pm 0.531 0.080 0.000
Pm 0.531 0.531 0.452
Y 0.056 0.556 0.500
Y 0.556 0.056 0.500
In 0.583 0.583 0.000



(7)
This record from the Alexandria database describes PmY3In3 after structural relaxation. The functional is PBE.

Output
- space group = No. 198
- DOS at the Fermi energy (states/eV/f.u.) = 9.0
- calculated volume (A^3/atom) = 29.52
- VASP energy (eV/atom) = -4.973

Cell: 9.385 9.385 9.385 Å, 90.00 90.00 90.00°
Fractional positions:
Pm 0.071 0.429 0.571
Pm 0.429 0.571 0.071
Pm 0.571 0.071 0.429
Pm 0.929 0.929 0.929
Y 0.081 0.581 0.919
Y 0.177 0.177 0.177
Y 0.178 0.822 0.322
Y 0.322 0.178 0.822
Y 0.323 0.823 0.677
Y 0.419 0.419 0.419
Y 0.581 0.919 0.081
Y 0.677 0.323 0.823
Y 0.678 0.678 0.678
Y 0.822 0.322 0.178
Y 0.823 0.677 0.323
Y 0.919 0.081 0.581
In 0.001 0.257 0.882
In 0.118 0.501 0.243
In 0.243 0.118 0.501
In 0.257 0.882 0.001
In 0.382 0.499 0.743
In 0.499 0.743 0.382
In 0.501 0.243 0.118
In 0.618 0.999 0.757
In 0.743 0.382 0.499
In 0.757 0.618 0.999
In 0.882 0.001 0.257
In 0.999 0.757 0.618



(8)
This record from the Alexandria database describes Pm5YIn2 after structural relaxation. The functional is PBE.

Output
- space group = No. 71
- DOS at the Fermi energy (states/eV/f.u.) = 11.3
- calculated volume (A^3/atom) = 31.41
- VASP energy (eV/atom) = -4.630

Cell: 8.517 8.517 8.517 Å, 155.17 99.81 85.53°
Fractional positions:
Pm 0.000 0.000 0.000
Pm 0.081 0.361 0.720
Pm 0.358 0.639 0.720
Pm 0.642 0.361 0.280
Pm 0.919 0.639 0.280
Y 0.500 0.000 0.500
In 0.275 0.275 0.000
In 0.725 0.725 0.000



(9)
This record from the Alexandria database describes PmY2In after structural relaxation. The functional is PBE.

Output
- space group = No. 160
- DOS at the Fermi energy (states/eV/f.u.) = 5.7
- calculated volume (A^3/atom) = 31.17
- VASP energy (eV/atom) = -5.258

Cell: 11.101 11.101 11.101 Å, 18.84 18.84 18.84°
Fractional positions:
Pm 0.000 0.000 0.000
Y 0.243 0.243 0.243
Y 0.423 0.423 0.423
In 0.834 0.834 0.834



(10)
This record from the Alexandria database describes Pm5Y4In4 after structural relaxation. The functional is PBE.

Output
- space group = No. 87
- DOS at the Fermi energy (states/eV/f.u.) = 14.8
- calculated volume (A^3/atom) = 30.56
- VASP energy (eV/atom) = -4.985

Cell: 9.153 9.153 9.153 Å, 94.54 94.54 147.32°
Fractional positions:
Pm 0.000 0.000 0.000
Pm 0.311 0.598 0.910
Pm 0.402 0.311 0.713
Pm 0.598 0.689 0.287
Pm 0.689 0.402 0.090
Y 0.096 0.390 0.486
Y 0.390 0.904 0.294
Y 0.610 0.096 0.706
Y 0.904 0.610 0.514
In 0.107 0.763 0.870
In 0.237 0.107 0.343
In 0.763 0.893 0.657
In 0.893 0.237 0.130



(11)
This record from the Alexandria database describes Pm2Y4In after structural relaxation. The functional is PBE.

Output
- space group = No. 14
- DOS at the Fermi energy (states/eV/f.u.) = 9.4
- calculated volume (A^3/atom) = 31.81
- VASP energy (eV/atom) = -5.506

Cell: 6.315 10.724 6.576 Å, 90.00 90.06 90.00°
Fractional positions:
Pm 0.244 0.041 0.499
Pm 0.244 0.459 0.999
Pm 0.756 0.541 0.001
Pm 0.756 0.959 0.501
Y 0.071 0.154 0.000
Y 0.071 0.346 0.500
Y 0.402 0.750 0.250
Y 0.402 0.750 0.750
Y 0.598 0.250 0.250
Y 0.598 0.250 0.750
Y 0.929 0.654 0.500
Y 0.929 0.846 0.000
In 0.500 0.000 0.000
In 0.500 0.500 0.500



(12)
This record from the Alexandria database describes Pm3Y5In2 after structural relaxation. The functional is PBE.

Output
- space group = No. 72
- DOS at the Fermi energy (states/eV/f.u.) = 14.2
- calculated volume (A^3/atom) = 32.75
- VASP energy (eV/atom) = -5.146

Cell: 10.676 10.676 10.676 Å, 105.50 85.12 144.85°
Fractional positions:
Pm 0.233 0.117 0.349
Pm 0.250 0.250 0.000
Pm 0.267 0.617 0.884
Pm 0.733 0.383 0.116
Pm 0.750 0.750 0.000
Pm 0.767 0.883 0.651
Y 0.165 0.380 0.545
Y 0.250 0.502 0.252
Y 0.250 0.750 0.500
Y 0.250 0.998 0.748
Y 0.335 0.880 0.214
Y 0.665 0.120 0.786
Y 0.750 0.002 0.252
Y 0.750 0.250 0.500
Y 0.750 0.498 0.748
Y 0.835 0.620 0.455
In 0.146 0.864 0.010
In 0.354 0.364 0.717
In 0.646 0.636 0.283
In 0.854 0.136 0.990



(13)
This record from the Alexandria database describes Pm3Y6In after structural relaxation. The functional is PBE.

Output
- space group = No. 36
- DOS at the Fermi energy (states/eV/f.u.) = 13.8
- calculated volume (A^3/atom) = 32.51
- VASP energy (eV/atom) = -5.579

Cell: 11.072 11.072 6.254 Å, 90.00 90.00 121.99°
Fractional positions:
Pm 0.106 0.894 0.500
Pm 0.217 0.453 0.852
Pm 0.453 0.217 0.352
Pm 0.547 0.783 0.852
Pm 0.783 0.547 0.352
Pm 0.894 0.106 0.000
Y 0.062 0.462 0.312
Y 0.124 0.209 0.482
Y 0.209 0.124 0.982
Y 0.217 0.783 0.079
Y 0.439 0.561 0.346
Y 0.462 0.062 0.812
Y 0.538 0.938 0.312
Y 0.561 0.439 0.846
Y 0.783 0.217 0.579
Y 0.791 0.876 0.482
Y 0.876 0.791 0.982
Y 0.938 0.538 0.812
In 0.267 0.733 0.588
In 0.733 0.267 0.088



(14)
This record from the Alexandria database describes Pm4Y15In after structural relaxation. The functional is PBE.

Output
- space group = No. 123
- DOS at the Fermi energy (states/eV/f.u.) = 26.9
- calculated volume (A^3/atom) = 32.02
- VASP energy (eV/atom) = -5.965

Cell: 5.018 5.018 25.434 Å, 90.00 90.00 90.00°
Fractional positions:
Pm 0.000 0.000 0.101
Pm 0.000 0.000 0.302
Pm 0.000 0.000 0.698
Pm 0.000 0.000 0.899
Y 0.000 0.500 0.000
Y 0.000 0.500 0.202
Y 0.000 0.500 0.405
Y 0.000 0.500 0.595
Y 0.000 0.500 0.798
Y 0.500 0.000 0.000
Y 0.500 0.000 0.202
Y 0.500 0.000 0.405
Y 0.500 0.000 0.595
Y 0.500 0.000 0.798
Y 0.500 0.500 0.102
Y 0.500 0.500 0.306
Y 0.500 0.500 0.500
Y 0.500 0.500 0.694
Y 0.500 0.500 0.898
In 0.000 0.000 0.500



(15)
This record from the Alexandria database describes PmY2In after structural relaxation. The functional is PBE.

Output
- space group = No. 11
- DOS at the Fermi energy (states/eV/f.u.) = 4.6
- calculated volume (A^3/atom) = 31.61
- VASP energy (eV/atom) = -5.308

Cell: 4.713 4.858 11.290 Å, 90.00 102.00 90.00°
Fractional positions:
Pm 0.193 0.250 0.387
Pm 0.807 0.750 0.613
Y 0.059 0.750 0.118
Y 0.434 0.750 0.868
Y 0.566 0.250 0.132
Y 0.941 0.250 0.882
In 0.339 0.250 0.676
In 0.661 0.750 0.324



(16)
This record from the Alexandria database describes PmY4In after structural relaxation. The functional is PBE.

Output
- space group = No. 12
- DOS at the Fermi energy (states/eV/f.u.) = 8.6
- calculated volume (A^3/atom) = 33.20
- VASP energy (eV/atom) = -5.503

Cell: 5.461 5.461 8.335 Å, 109.07 109.07 59.92°
Fractional positions:
Pm 0.000 0.000 0.000
Y 0.216 0.216 0.647
Y 0.368 0.368 0.104
Y 0.632 0.632 0.896
Y 0.784 0.784 0.353
In 0.500 0.500 0.500



(17)
This record from the Alexandria database describes Pm2YIn3 after structural relaxation. The functional is PBE.

Output
- space group = No. 123
- DOS at the Fermi energy (states/eV/f.u.) = 3.5
- calculated volume (A^3/atom) = 27.89
- VASP energy (eV/atom) = -4.529

Cell: 3.804 3.804 11.563 Å, 90.00 90.00 90.00°
Fractional positions:
Pm 0.000 0.000 0.170
Pm 0.000 0.000 0.830
Y 0.000 0.000 0.500
In 0.500 0.500 0.000
In 0.500 0.500 0.341
In 0.500 0.500 0.659



(18)
This record from the Alexandria database describes Pm12Y2In after structural relaxation. The functional is PBE.

Output
- space group = No. 125
- DOS at the Fermi energy (states/eV/f.u.) = 19.1
- calculated volume (A^3/atom) = 35.40
- VASP energy (eV/atom) = -4.617

Cell: 6.694 6.694 23.695 Å, 90.00 90.00 90.00°
Fractional positions:
Pm 0.003 0.503 0.092
Pm 0.003 0.997 0.908
Pm 0.084 0.584 0.566
Pm 0.084 0.916 0.434
Pm 0.250 0.250 0.200
Pm 0.250 0.250 0.329
Pm 0.250 0.250 0.671
Pm 0.250 0.250 0.800
Pm 0.416 0.584 0.434
Pm 0.416 0.916 0.566
Pm 0.497 0.503 0.908
Pm 0.497 0.997 0.092
Pm 0.503 0.003 0.908
Pm 0.503 0.497 0.092
Pm 0.584 0.084 0.434
Pm 0.584 0.416 0.566
Pm 0.750 0.750 0.200
Pm 0.750 0.750 0.329
Pm 0.750 0.750 0.671
Pm 0.750 0.750 0.800
Pm 0.916 0.084 0.566
Pm 0.916 0.416 0.434
Pm 0.997 0.003 0.092
Pm 0.997 0.497 0.908
Y 0.250 0.750 0.253
Y 0.250 0.750 0.747
Y 0.750 0.250 0.253
Y 0.750 0.250 0.747
In 0.250 0.750 0.000
In 0.750 0.250 0.000



(19)
This record from the Alexandria database describes Pm5YIn2 after structural relaxation. The functional is PBE.

Output
- space group = No. 55
- DOS at the Fermi energy (states/eV/f.u.) = 12.0
- calculated volume (A^3/atom) = 30.18
- VASP energy (eV/atom) = -4.738

Cell: 7.000 14.004 4.925 Å, 90.00 90.00 90.00°
Fractional positions:
Pm 0.000 0.000 0.000
Pm 0.005 0.251 0.000
Pm 0.246 0.875 0.500
Pm 0.254 0.375 0.500
Pm 0.495 0.751 0.000
Pm 0.500 0.500 0.000
Pm 0.505 0.249 0.000
Pm 0.746 0.625 0.500
Pm 0.754 0.125 0.500
Pm 0.995 0.749 0.000
Y 0.000 0.500 0.000
Y 0.500 0.000 0.000
In 0.244 0.623 0.500
In 0.256 0.123 0.500
In 0.744 0.877 0.500
In 0.756 0.377 0.500